1.
A plane-wave DFT calculation with PBE-GGA was carried out for an optimized crystal structure of Sr3Ta7SiBi9O36.

Cell and atoms, written as CIF:
```
data_Sr3Ta7SiBi9O36
_chemical_formula_sum 'Sr3 Ta7 Si1 Bi9 O36'
_cell_length_a 5.481
_cell_length_b 5.484
_cell_length_c 24.773
_cell_angle_alpha 90.72
_cell_angle_beta 90.40
_cell_angle_gamma 90.15
_symmetry_space_group_name_H-M 'P 1'
_symmetry_Int_Tables_number 1
_symmetry_space_group_name_Hall 'P 1'
loop_
_atom_site_label
_atom_site_fract_x
_atom_site_fract_y
_atom_site_fract_z
Sr1 0.000 0.000 0.000
Sr2 0.009 0.509 0.505
Sr3 0.506 0.007 0.505
Ta1 0.001 0.492 0.089
Ta2 0.006 0.991 0.419
Ta3 0.011 0.997 0.591
Ta4 0.498 0.000 0.918
Ta5 0.507 0.495 0.592
Ta6 0.507 0.995 0.090
Ta7 0.508 0.491 0.420
Si1 0.994 0.488 0.922
Bi1 0.030 0.531 0.709
Bi2 0.036 0.545 0.306
Bi3 0.479 0.533 0.993
Bi4 0.485 0.026 0.709
Bi5 0.485 0.050 0.307
Bi6 0.531 0.531 0.205
Bi7 0.544 0.546 0.811
Bi8 0.987 0.027 0.205
Bi9 0.994 0.063 0.813
O1 0.055 0.484 0.997
O2 0.075 0.005 0.665
O3 0.075 0.982 0.343
O4 0.217 0.196 0.087
O5 0.229 0.224 0.920
O6 0.229 0.260 0.435
O7 0.237 0.261 0.572
O8 0.255 0.271 0.252
O9 0.258 0.273 0.760
O10 0.260 0.699 0.920
O11 0.265 0.770 0.252
O12 0.267 0.771 0.759
O13 0.282 0.761 0.574
O14 0.286 0.760 0.433
O15 0.298 0.692 0.086
O16 0.442 0.471 0.344
O17 0.449 0.489 0.666
O18 0.464 0.952 0.003
O19 0.557 0.486 0.503
O20 0.558 0.983 0.844
O21 0.566 0.990 0.164
O22 0.713 0.187 0.416
O23 0.727 0.208 0.589
O24 0.727 0.263 0.070
O25 0.746 0.249 0.935
O26 0.756 0.273 0.256
O27 0.760 0.274 0.757
O28 0.765 0.772 0.256
O29 0.767 0.723 0.933
O30 0.768 0.771 0.756
O31 0.788 0.765 0.073
O32 0.793 0.708 0.592
O33 0.802 0.687 0.414
O34 0.952 0.462 0.854
O35 0.953 0.496 0.163
O36 0.960 0.977 0.503
```

Properties
* E: -7.762 eV per atom

2.
A plane-wave DFT calculation with PBE-GGA was carried out for an optimized crystal structure of Ta3Co10.

Cell and atoms, written as CIF:
```
data_Ta3Co10
_chemical_formula_sum 'Ta9 Co30'
_cell_length_a 4.7331
_cell_length_b 4.7331
_cell_length_c 25.1788
_cell_angle_alpha 90.00
_cell_angle_beta 90.00
_cell_angle_gamma 120.00
_symmetry_space_group_name_H-M 'R -3 m'
_symmetry_Int_Tables_number 166
_symmetry_space_group_name_Hall '-R 3 2"'
loop_
_atom_site_label
_atom_site_fract_x
_atom_site_fract_y
_atom_site_fract_z
Ta1 0.0000 0.0000 0.0000
Ta2 0.0000 0.0000 0.1645
Co1 0.0000 0.0000 0.3533
Co2 0.0000 0.0000 0.4528
Co3 0.0128 0.5064 0.4117
```

Properties
* E: -8.152 eV per atom
* E above lowest polymorph: 0 kJ/mol of formula units

3.
A plane-wave DFT calculation with PBE-GGA was carried out for an optimized crystal structure of PrErAu2.

Cell and atoms, written as CIF:
```
data_PrErAu2
_chemical_formula_sum 'Pr2 Er2 Au4'
_cell_length_a 4.716
_cell_length_b 3.792
_cell_length_c 11.133
_cell_angle_alpha 90.00
_cell_angle_beta 90.00
_cell_angle_gamma 90.00
_symmetry_space_group_name_H-M 'A m m 2'
_symmetry_Int_Tables_number 38
_symmetry_space_group_name_Hall 'A 2 -2'
loop_
_atom_site_label
_atom_site_fract_x
_atom_site_fract_y
_atom_site_fract_z
Pr1 0.000 0.000 0.000
Er1 0.500 0.000 0.723
Au1 0.000 0.000 0.271
Au2 0.500 0.000 0.446
```

Properties
* E: -4.792 eV per atom

4.
A plane-wave DFT calculation with PBE-GGA was carried out for an optimized crystal structure of CsNaMoPd.

Cell and atoms, written as CIF:
```
data_CsNaMoPd
_chemical_formula_sum 'Cs4 Na4 Mo4 Pd4'
_cell_length_a 7.545
_cell_length_b 7.545
_cell_length_c 7.545
_cell_angle_alpha 90.00
_cell_angle_beta 90.00
_cell_angle_gamma 90.00
_symmetry_space_group_name_H-M 'F -4 3 m'
_symmetry_Int_Tables_number 216
_symmetry_space_group_name_Hall 'F -4 2 3'
loop_
_atom_site_label
_atom_site_fract_x
_atom_site_fract_y
_atom_site_fract_z
Cs1 0.000 0.000 0.000
Na1 0.000 0.000 0.500
Mo1 0.250 0.250 0.250
Pd1 0.250 0.250 0.750
```

Properties
* E: -3.195 eV per atom
* E above lowest polymorph: 68 kJ/mol of formula units

5.
A plane-wave DFT calculation with PBE-GGA was carried out for an optimized crystal structure of HoSi2Pt.

Cell and atoms, written as CIF:
```
data_HoSi2Pt
_chemical_formula_sum 'Ho2 Si4 Pt2'
_cell_length_a 4.130
_cell_length_b 5.973
_cell_length_c 5.685
_cell_angle_alpha 90.00
_cell_angle_beta 90.00
_cell_angle_gamma 90.00
_symmetry_space_group_name_H-M 'P m n 21'
_symmetry_Int_Tables_number 31
_symmetry_space_group_name_Hall 'P 2ac -2'
loop_
_atom_site_label
_atom_site_fract_x
_atom_site_fract_y
_atom_site_fract_z
Ho1 0.000 0.099 0.000
Si1 0.000 0.255 0.499
Si2 0.000 0.641 0.260
Pt1 0.000 0.600 0.795
```

Properties
* E: -6.144 eV per atom

6.
A plane-wave DFT calculation with PBE-GGA was carried out for an optimized crystal structure of Cu2Ag3.

Cell and atoms, written as CIF:
```
data_Cu2Ag3
_chemical_formula_sum 'Cu4 Ag6'
_cell_length_a 6.202
_cell_length_b 3.930
_cell_length_c 6.389
_cell_angle_alpha 90.00
_cell_angle_beta 91.17
_cell_angle_gamma 90.00
_symmetry_space_group_name_H-M 'P 1 2/m 1'
_symmetry_Int_Tables_number 10
_symmetry_space_group_name_Hall '-P 2y'
loop_
_atom_site_label
_atom_site_fract_x
_atom_site_fract_y
_atom_site_fract_z
Cu1 0.000 0.000 0.000
Cu2 0.102 0.500 0.693
Cu3 0.500 0.500 0.500
Ag1 0.195 0.000 0.396
Ag2 0.283 0.500 0.094
Ag3 0.390 0.000 0.792
```

Properties
* E: -3.091 eV per atom
* E above lowest polymorph: 28 kJ/mol of formula units

7.
A plane-wave DFT calculation with PBE-GGA was carried out for an optimized crystal structure of ScAgTe3Pb.

Cell and atoms, written as CIF:
```
data_ScAgTe3Pb
_chemical_formula_sum 'Sc4 Ag4 Te12 Pb4'
_cell_length_a 12.850
_cell_length_b 4.358
_cell_length_c 12.669
_cell_angle_alpha 90.00
_cell_angle_beta 90.00
_cell_angle_gamma 90.00
_symmetry_space_group_name_H-M 'P n m a'
_symmetry_Int_Tables_number 62
_symmetry_space_group_name_Hall '-P 2ac 2n'
loop_
_atom_site_label
_atom_site_fract_x
_atom_site_fract_y
_atom_site_fract_z
Sc1 0.035 0.250 0.173
Ag1 0.240 0.750 0.310
Te1 0.024 0.750 0.346
Te2 0.083 0.250 0.932
Te3 0.242 0.750 0.667
Pb1 0.174 0.250 0.490
```

Properties
* E: -4.268 eV per atom
* E above lowest polymorph: 54 kJ/mol of formula units

8.
A plane-wave DFT calculation with PBE-GGA was carried out for an optimized crystal structure of Nd2SmCo2B2N3.

Cell and atoms, written as CIF:
```
data_Nd2SmCo2B2N3
_chemical_formula_sum 'Nd4 Sm2 Co4 B4 N6'
_cell_length_a 3.612
_cell_length_b 3.612
_cell_length_c 19.914
_cell_angle_alpha 90.00
_cell_angle_beta 90.00
_cell_angle_gamma 90.00
_symmetry_space_group_name_H-M 'I 4/m m m'
_symmetry_Int_Tables_number 139
_symmetry_space_group_name_Hall '-I 4 2'
loop_
_atom_site_label
_atom_site_fract_x
_atom_site_fract_y
_atom_site_fract_z
Nd1 0.000 0.000 0.128
Sm1 0.000 0.000 0.500
Co1 0.000 0.500 0.250
B1 0.000 0.000 0.303
N1 0.000 0.000 0.000
N2 0.000 0.000 0.378
```

Properties
* E: -7.739 eV per atom